# YMo3O, relaxed, DFT GGA+U
# N(E_F) = 5.4 states/eV per cell
# relative energy among the computed polymorphs = 0.000 eV/atom
# total magnetization = 0.796 μB/atom
# V = 83.7 Å³ per cell
data_YMo3O
_space_group_name_H-M_alt 'P m -3 m'
_space_group_IT_number 221
_space_group_name_Hall '-P 4 2 3'
_cell_length_a 4.374
_cell_length_b 4.374
_cell_length_c 4.374
_cell_angle_alpha 90.00
_cell_angle_beta 90.00
_cell_angle_gamma 90.00
loop_
_atom_site_label
_atom_site_type_symbol
_atom_site_fract_x
_atom_site_fract_y
_atom_site_fract_z
Y1 Y 0.000 0.000 0.000
Mo1 Mo 0.000 0.500 0.500
O1 O 0.500 0.500 0.500